(1)
This record from the Alexandria database describes a geometry-optimized La6HOs2 structure. The functional is PBE.

Its crystal system is monoclinic. The energy comes out at -6.37 eV per atom.

```
data_La6HOs2
_symmetry_space_group_name_H-M 'P 1 21/c 1'
_symmetry_Int_Tables_number 14
_cell_length_a 6.6293
_cell_length_b 7.4538
_cell_length_c 11.8814
_cell_angle_alpha 90.00
_cell_angle_beta 122.35
_cell_angle_gamma 90.00
loop_
_symmetry_equiv_pos_as_xyz
'x,y,z'
'-x,-y,-z'
'-x,y+1/2,-z+1/2'
'x,-y+1/2,z+1/2'
loop_
_atom_site_label
_atom_site_fract_x
_atom_site_fract_y
_atom_site_fract_z
_atom_site_occupancy
La1 0.1068 0.1734 0.4328 1
La2 0.2610 0.6653 0.4278 1
La3 0.3905 0.0474 0.2440 1
H1 0.0000 0.0000 0.0000 1
Os1 0.1788 0.1154 0.7326 1
```

(2)
This record from the Alexandria database describes a geometry-optimized La3HOs structure. The functional is PBE.

Its crystal system is cubic. The energy comes out at -5.72 eV per atom.

```
data_La3HOs
_symmetry_space_group_name_H-M 'P m -3 m'
_symmetry_Int_Tables_number 221
_symmetry_space_group_name_Hall '-P 4 2 3'
_cell_length_a 4.8439
_cell_length_b 4.8439
_cell_length_c 4.8439
_cell_angle_alpha 90.00
_cell_angle_beta 90.00
_cell_angle_gamma 90.00
loop_
_atom_site_label
_atom_site_fract_x
_atom_site_fract_y
_atom_site_fract_z
_atom_site_occupancy
La1 0.0000 0.0000 0.5000 1
H1 0.0000 0.0000 0.0000 1
Os1 0.5000 0.5000 0.5000 1
```

(3)
This record from the Alexandria database describes a geometry-optimized LaHOs structure. The functional is PBE.

Its crystal system is orthorhombic. The energy comes out at -6.55 eV per atom.

```
data_LaHOs
_symmetry_space_group_name_H-M 'P n m a'
_symmetry_Int_Tables_number 62
_cell_length_a 16.7052
_cell_length_b 3.6446
_cell_length_c 3.5392
_cell_angle_alpha 90.00
_cell_angle_beta 90.00
_cell_angle_gamma 90.00
loop_
_symmetry_equiv_pos_as_xyz
'x,y,z'
'-x,-y,-z'
'-x+1/2,-y,z+1/2'
'x+1/2,y,-z+1/2'
'x+1/2,-y+1/2,-z+1/2'
'-x+1/2,y+1/2,z+1/2'
'-x,y+1/2,-z'
'x,-y+1/2,z'
loop_
_atom_site_label
_atom_site_fract_x
_atom_site_fract_y
_atom_site_fract_z
_atom_site_occupancy
La1 0.1553 0.2500 0.2394 1
H1 0.1951 0.7500 0.7363 1
Os1 0.9995 0.2500 0.7431 1
```